Material: MoPtIO2
Method: DFT, GGA+U
State: optimized geometry

```
5
Lattice="3.863 0.000 0.000 0.000 3.863 0.000 0.000 0.000 7.089" Properties=species:S:1:pos:R:3 pbc="T T T"
Mo 0.000 0.000 0.000
Pt 1.931 1.931 3.544
I 0.000 0.000 3.544
O 0.000 1.931 0.000
O 1.931 0.000 0.000
```

Properties
**M_tot**: 1.59 μB per cell
**DOS at the Fermi energy**: 0.572 states/eV/atom
**Offset from the most stable computed form**: 0 meV/atom
**Space-group type**: P4/mmm, No. 123